Compound: Li2IrRhO6
Source: Alexandria
Functional: GGA-PBE
Structure: relaxed

Unit cell a=5.5763 b=5.5763 c=3.8894 alpha=90.00 beta=90.00 gamma=90.00
Last column: nearest neighbours and their distance in Å.
Positions (direct):
1 Li 0.0000 0.5000 0.0000  4 O 2.06
2 Li 0.5000 0.0000 0.0000  4 O 2.06
3 Ir 0.0000 0.0000 0.7863  6 O 1.85-2.04
4 Rh 0.5000 0.5000 0.7731  6 O 1.85-2.04
5 O 0.0000 0.0000 0.3097  2 Ir 1.85-2.04
6 O 0.2461 0.2461 0.8510  1 Ir 1.96, 1 Rh 2.02, 2 Li 2.06
7 O 0.2461 0.7539 0.8510  1 Ir 1.96, 1 Rh 2.02, 2 Li 2.06
8 O 0.5000 0.5000 0.2977  2 Rh 1.85-2.04
9 O 0.7539 0.2461 0.8510  1 Ir 1.96, 1 Rh 2.02, 2 Li 2.06
10 O 0.7539 0.7539 0.8510  1 Ir 1.96, 1 Rh 2.02, 2 Li 2.06

* formation energy without anion corrections: -829 meV per atom

=====

Compound: SrInTc2
Source: Alexandria
Functional: GGA-PBE
Structure: relaxed

Unit cell a=3.1582 b=3.1582 c=28.9510 alpha=90.00 beta=90.00 gamma=120.00
Last column: nearest neighbours and their distance in Å.
Positions (direct):
1 Sr 0.0000 0.0000 0.0000  3 Tc 3.15, 6 Sr 3.16, 3 In 3.48
2 Sr 0.3333 0.6667 0.6667  3 Tc 3.15, 6 Sr 3.16, 3 In 3.48
3 Sr 0.6667 0.3333 0.3333  3 Tc 3.15, 6 Sr 3.16, 3 In 3.48
4 In 0.0000 0.0000 0.7692  3 Tc 2.96, 6 In 3.16
5 In 0.3333 0.6667 0.4358  3 Tc 2.96, 6 In 3.16
6 In 0.6667 0.3333 0.1025  3 Tc 2.96, 6 In 3.16
7 Tc 0.0000 0.0000 0.2446  3 Tc 2.55
8 Tc 0.0000 0.0000 0.5165  3 Tc 2.55
9 Tc 0.3333 0.6667 0.1832  3 Tc 2.55
10 Tc 0.3333 0.6667 0.9113  3 Tc 2.55
11 Tc 0.6667 0.3333 0.5780  3 Tc 2.55
12 Tc 0.6667 0.3333 0.8499  3 Tc 2.55

* ΔH_f (0 K): 566 meV/atom

=====

Compound: Rb3Sm3SbTe8
Source: Alexandria
Functional: GGA-PBE
Structure: relaxed

Unit cell a=9.0365 b=9.0365 c=10.2239 alpha=116.30 beta=116.30 gamma=59.88
Last column: nearest neighbours and their distance in Å.
Positions (direct):
1 Rb 0.0000 0.0000 0.0000  6 Te 3.69-3.71
2 Rb 0.0000 0.5000 0.0000  6 Te 3.68-3.71
3 Rb 0.5000 0.0000 0.0000  6 Te 3.68-3.71
4 Sm 0.0000 0.5000 0.5000  6 Te 3.15-3.16
5 Sm 0.5000 0.0000 0.5000  6 Te 3.15-3.16
6 Sm 0.5000 0.5000 0.5000  6 Te 3.15-3.16
7 Sb 0.0000 0.0000 0.5000  6 Te 3.07-3.08
8 Te 0.2283 0.2283 0.6967  1 Sb 3.08, 2 Sm 3.15
9 Te 0.2283 0.7402 0.6966  1 Sb 3.07, 2 Sm 3.15-3.16
10 Te 0.2598 0.7717 0.3034  1 Sb 3.07, 2 Sm 3.15-3.16
11 Te 0.2654 0.2654 0.2964  3 Sm 3.16
12 Te 0.7346 0.7346 0.7036  3 Sm 3.16
13 Te 0.7402 0.2283 0.6966  1 Sb 3.07, 2 Sm 3.15-3.16
14 Te 0.7717 0.2598 0.3034  1 Sb 3.07, 2 Sm 3.15-3.16
15 Te 0.7717 0.7717 0.3033  1 Sb 3.08, 2 Sm 3.15

* formation energy without anion corrections: -1099 meV per atom

=====

no.,calculated total energy (eV/atom)
1,-5.8083
2,-5.7225
3,-4.1863